A plane-wave DFT calculation with PBE+U was carried out for a geometry-optimized VGe2O structure.

Unit cell a=5.536 b=5.536 c=5.536 alpha=112.58 beta=112.58 gamma=103.43
Sites, in units of the cell vectors:
V  0.000  0.000  0.000
V  0.750  0.250  0.500
Ge  0.193  0.625  0.068
Ge  0.375  0.443  0.568
Ge  0.557  0.125  0.932
Ge  0.875  0.807  0.432
O  0.250  0.750  0.500
O  0.500  0.500  0.000

Output
The value obtained for the total energy is -5.219 eV/atom.